No. 1
The following is a GGA-PBEsol calculation of crystalline ZrZn3I at its relaxed geometry, from Alexandria.

```
ZrZn3I
1.0
-3.945 2.655 1.670
-1.190 -3.750 3.151
2.902 2.073 3.562
Zn Zr I
3 1 1
direct
0.500 0.000 0.000 Zn
0.000 0.500 0.000 Zn
0.000 0.000 0.500 Zn
0.500 0.500 0.500 Zr
0.000 0.000 0.000 I
```

For the volume, the calculation gives 25.608 Å³ per atom. The calculation puts the offset from the most stable computed form at 429 meV/atom. As for the formation energy without anion corrections: 1299.7 meV per atom.

***

No. 2
The following is a GGA-PBEsol calculation of crystalline Al2ReSb at its relaxed geometry, from Alexandria.

```
Al2ReSb
1.0
-2.194 2.013 1.397
-1.783 -3.604 2.391
4.230 0.422 2.163
Sb Re Al
1 1 2
direct
0.500 0.000 0.000 Sb
0.000 0.500 0.000 Re
0.266 0.290 0.532 Al
0.734 0.710 0.468 Al
```

For the volume, the calculation gives 16.924 Å³ per atom. As for the formation energy without anion corrections: 242.0 meV per atom.

***

No. 3
The following is a GGA-PBEsol calculation of crystalline GeTe2HI at its relaxed geometry, from Alexandria.

```
GeTe2HI
1.0
4.391 0.000 0.000
0.000 4.391 0.000
0.000 0.000 6.125
H Ge I Te
1 1 1 2
direct
0.000 0.000 0.000 H
0.500 0.500 0.500 Ge
0.000 0.000 0.500 I
0.000 0.500 0.000 Te
0.500 0.000 0.000 Te
```

For the volume, the calculation gives 23.615 Å³ per atom. The calculation puts the offset from the most stable computed form at 0 meV/atom.